# Fe6NiPt8

A geometry-optimized Fe6NiPt8 structure (PBE, Alexandria via LeMat-Bulk).

Lattice parameters (Å, degrees): 7.117 7.117 6.608 57.42 57.42 60.00
Last column: magnetic moment on the atom in μB.
Positions (direct):
1 Pt 0.263 0.263 0.210  0.34
2 Pt 0.402 0.143 0.628  0.37
3 Fe 0.378 0.668 0.883  2.95
4 Fe 0.929 0.622 0.117  2.95
5 Pt 0.173 0.598 0.372  0.37
6 Fe 0.668 0.071 0.883  2.95
7 Fe 0.332 0.929 0.117  2.95
8 Ni 0.000 0.000 0.000  0.80
9 Fe 0.622 0.332 0.117  2.95
10 Pt 0.598 0.857 0.372  0.37
11 Pt 0.857 0.173 0.372  0.37
12 Pt 0.143 0.827 0.628  0.37
13 Fe 0.071 0.378 0.883  2.95
14 Pt 0.737 0.737 0.790  0.34
15 Pt 0.827 0.402 0.628  0.37

* density of states at the Fermi level: 0.773 states/eV per atom
* theoretical density: 14.3 g/cm³
* DFT total energy: -105.1 eV/cell
* SG: No. 148